Density functional theory data (PBE) for Cs2NaCd16 after structural relaxation.

Results
Energy relative to the elements   -39 meV per atom
Final energy   -18.41 eV for the cell shown
Space group   R3m, No. 160

Lattice parameters (Å, degrees): 8.066 8.066 8.066 84.04 84.04 84.04
Positions (direct):
Cs1 0.000 0.000 0.000
Cs2 0.301 0.301 0.301
Na1 0.747 0.747 0.747
Cd1 0.000 0.000 0.509
Cd2 0.000 0.509 0.000
Cd3 0.157 0.652 0.652
Cd4 0.306 0.306 0.796
Cd5 0.306 0.796 0.306
Cd6 0.363 0.654 0.944
Cd7 0.363 0.944 0.654
Cd8 0.509 0.000 0.000
Cd9 0.542 0.542 0.542
Cd10 0.652 0.157 0.652
Cd11 0.652 0.652 0.157
Cd12 0.654 0.363 0.944
Cd13 0.654 0.944 0.363
Cd14 0.796 0.306 0.306
Cd15 0.944 0.363 0.654
Cd16 0.944 0.654 0.363

Density functional theory data (PBE) for YCd2AsPd after structural relaxation.

Results
Energy relative to the elements   909 meV per atom
Final energy   -13.59 eV for the cell shown
Space group   P4/mmm, No. 123

Lattice parameters (Å, degrees): 5.739 5.739 5.005 90.00 90.00 90.00
Positions (direct):
Y1 0.000 0.000 0.000
Cd1 0.000 0.500 0.000
Cd2 0.500 0.000 0.000
As1 0.500 0.500 0.500
Pd1 0.000 0.000 0.500

Density functional theory data (PBE) for HoEr4Pd2 after structural relaxation.

Results
Energy relative to the elements   -366 meV per atom
Distance to the lowest polymorph of the same formula   0.63 eV/f.u.
Final energy   -35.78 eV for the cell shown
Space group   R-3m, No. 166

Lattice parameters (Å, degrees): 15.617 15.617 15.617 14.08 14.08 14.08
Positions (direct):
Ho1 0.000 0.000 0.000
Er1 0.198 0.198 0.198
Er2 0.394 0.394 0.394
Er3 0.606 0.606 0.606
Er4 0.802 0.802 0.802
Pd1 0.098 0.098 0.098
Pd2 0.902 0.902 0.902

Density functional theory data (PBE) for Tb8CuSe4S3 after structural relaxation.

Results
Raw formation energy   -1.6841 eV per atom
Final energy   -94.40 eV for the cell shown
Space group   R-3m, No. 166

Lattice parameters (Å, degrees): 8.111 8.111 8.111 59.21 59.21 59.21
Positions (direct):
Tb1 0.243 0.243 0.243
Tb2 0.246 0.743 0.743
Tb3 0.257 0.257 0.754
Tb4 0.257 0.754 0.257
Tb5 0.743 0.246 0.743
Tb6 0.743 0.743 0.246
Tb7 0.754 0.257 0.257
Tb8 0.757 0.757 0.757
Cu1 0.500 0.500 0.500
Se1 0.000 0.000 0.000
Se2 0.000 0.500 0.500
Se3 0.500 0.000 0.500
Se4 0.500 0.500 0.000
S1 0.000 0.000 0.500
S2 0.000 0.500 0.000
S3 0.500 0.000 0.000

Density functional theory data (PBE) for CaAg2I4 after structural relaxation.

Results
Distance to the lowest polymorph of the same formula   1.44 eV/f.u.
Raw formation energy   -0.6019 eV per atom
Final energy   -18.12 eV for the cell shown
Space group   I4/mmm, No. 139

Lattice parameters (Å, degrees): 8.337 8.337 8.337 136.66 136.66 62.96
Positions (direct):
Ca1 0.000 0.000 0.000
Ag1 0.403 0.403 0.000
Ag2 0.597 0.597 0.000
I1 0.000 0.500 0.500
I2 0.213 0.213 0.000
I3 0.500 0.000 0.500
I4 0.787 0.787 0.000

Density functional theory data (PBE) for DyGa2Cl5 after structural relaxation.

Results
Raw formation energy   -1.4940 eV per atom
Final energy   -63.68 eV for the cell shown
Space group   Cc, No. 9

Lattice parameters (Å, degrees): 8.901 8.901 10.087 116.90 116.90 48.92
Positions (direct):
Dy1 0.000 0.000 0.000
Dy2 0.000 0.000 0.500
Ga1 0.338 0.400 0.752
Ga2 0.400 0.338 0.252
Ga3 0.600 0.663 0.749
Ga4 0.663 0.600 0.249
Cl1 0.037 0.307 0.172
Cl2 0.137 0.863 0.250
Cl3 0.248 0.620 0.533
Cl4 0.307 0.037 0.672
Cl5 0.380 0.752 0.967
Cl6 0.620 0.248 0.033
Cl7 0.693 0.963 0.328
Cl8 0.752 0.380 0.467
Cl9 0.863 0.137 0.750
Cl10 0.963 0.693 0.828

Density functional theory data (PBE) for Te5As3Au12 after structural relaxation.

Results
Raw formation energy   0.1040 eV per atom
Final energy   -267.62 eV for the cell shown
Space group   Ia-3d, No. 230

Lattice parameters (Å, degrees): 13.748 13.748 13.748 109.47 109.47 109.47
Positions (direct):
Te1 0.000 0.000 0.000
Te2 0.000 0.000 0.500
Te3 0.000 0.500 0.000
Te4 0.000 0.500 0.500
Te5 0.125 0.750 0.875
Te6 0.125 0.875 0.250
Te7 0.250 0.125 0.875
Te8 0.250 0.625 0.375
Te9 0.375 0.250 0.625
Te10 0.375 0.625 0.750
Te11 0.500 0.000 0.000
Te12 0.500 0.000 0.500
Te13 0.500 0.500 0.000
Te14 0.500 0.500 0.500
Te15 0.625 0.375 0.250
Te16 0.625 0.750 0.375
Te17 0.750 0.375 0.625
Te18 0.750 0.875 0.125
Te19 0.875 0.125 0.750
Te20 0.875 0.250 0.125
As1 0.125 0.250 0.375
As2 0.125 0.375 0.750
As3 0.250 0.375 0.125
As4 0.250 0.875 0.625
As5 0.375 0.125 0.250
As6 0.375 0.750 0.125
As7 0.625 0.250 0.875
As8 0.625 0.875 0.750
As9 0.750 0.125 0.375
As10 0.750 0.625 0.875
As11 0.875 0.625 0.250
As12 0.875 0.750 0.625
Au1 0.061 0.631 0.387
Au2 0.061 0.930 0.674
Au3 0.070 0.244 0.131
Au4 0.070 0.326 0.939
Au5 0.113 0.744 0.674
Au6 0.113 0.869 0.439
Au7 0.131 0.070 0.244
Au8 0.131 0.561 0.887
Au9 0.174 0.244 0.613
Au10 0.174 0.430 0.561
Au11 0.244 0.131 0.070
Au12 0.244 0.613 0.174
Au13 0.256 0.326 0.887
Au14 0.256 0.430 0.369
Au15 0.326 0.887 0.256
Au16 0.326 0.939 0.070
Au17 0.369 0.256 0.430
Au18 0.369 0.613 0.939
Au19 0.387 0.061 0.631
Au20 0.387 0.826 0.756
Au21 0.430 0.369 0.256
Au22 0.430 0.561 0.174
Au23 0.439 0.113 0.869
Au24 0.439 0.826 0.570
Au25 0.561 0.174 0.430
Au26 0.561 0.887 0.131
Au27 0.570 0.439 0.826
Au28 0.570 0.631 0.744
Au29 0.613 0.174 0.244
Au30 0.613 0.939 0.369
Au31 0.631 0.387 0.061
Au32 0.631 0.744 0.570
Au33 0.674 0.061 0.930
Au34 0.674 0.113 0.744
Au35 0.744 0.570 0.631
Au36 0.744 0.674 0.113
Au37 0.756 0.387 0.826
Au38 0.756 0.869 0.930
Au39 0.826 0.570 0.439
Au40 0.826 0.756 0.387
Au41 0.869 0.439 0.113
Au42 0.869 0.930 0.756
Au43 0.887 0.131 0.561
Au44 0.887 0.256 0.326
Au45 0.930 0.674 0.061
Au46 0.930 0.756 0.869
Au47 0.939 0.070 0.326
Au48 0.939 0.369 0.613

Density functional theory data (PBE) for LiNi6Rh2 after structural relaxation.

Results
Energy relative to the elements   98 meV per atom
Final energy   -100.85 eV for the cell shown
Space group   P-1, No. 2

Lattice parameters (Å, degrees): 4.378 7.153 7.313 74.30 89.40 84.64
Positions (direct):
Li1 0.246 0.014 0.042
Li2 0.754 0.986 0.958
Ni1 0.014 0.342 0.133
Ni2 0.015 0.341 0.456
Ni3 0.093 0.006 0.669
Ni4 0.389 0.119 0.352
Ni5 0.474 0.691 0.994
Ni6 0.484 0.558 0.713
Ni7 0.516 0.442 0.287
Ni8 0.526 0.309 0.006
Ni9 0.611 0.881 0.648
Ni10 0.907 0.994 0.331
Ni11 0.985 0.659 0.544
Ni12 0.986 0.658 0.867
Rh1 0.020 0.330 0.798
Rh2 0.466 0.770 0.358
Rh3 0.534 0.230 0.642
Rh4 0.980 0.670 0.202

Density functional theory data (PBE) for ZrTi2BeMo after structural relaxation.

Results
Energy relative to the elements   669 meV per atom
Final energy   -35.55 eV for the cell shown
Space group   P4/mmm, No. 123

Lattice parameters (Å, degrees): 4.599 4.599 4.564 90.00 90.00 90.00
Positions (direct):
Zr1 0.000 0.000 0.000
Ti1 0.000 0.500 0.500
Ti2 0.500 0.000 0.500
Be1 0.500 0.500 0.000
Mo1 0.500 0.500 0.500

Density functional theory data (PBE) for Tl6RhO8 after structural relaxation.

Results
Raw formation energy   -0.3821 eV per atom
Final energy   -66.95 eV for the cell shown
Space group   R-3, No. 148

Lattice parameters (Å, degrees): 6.427 6.427 6.427 99.79 99.79 99.79
Positions (direct):
Tl1 0.209 0.591 0.210
Tl2 0.210 0.209 0.591
Tl3 0.409 0.790 0.791
Tl4 0.591 0.210 0.209
Tl5 0.790 0.791 0.409
Tl6 0.791 0.409 0.790
Rh1 0.000 0.000 0.000
O1 0.165 0.834 0.501
O2 0.166 0.499 0.835
O3 0.223 0.223 0.223
O4 0.499 0.835 0.166
O5 0.501 0.165 0.834
O6 0.777 0.777 0.777
O7 0.834 0.501 0.165
O8 0.835 0.166 0.499

Density functional theory data (PBE) for Sr2AlHPb after structural relaxation.

Results
Final energy   -12.00 eV for the cell shown
Space group   P4/mmm, No. 123

Lattice parameters (Å, degrees): 6.406 6.406 5.293 90.00 90.00 90.00
Positions (direct):
Sr1 0.000 0.500 0.000
Sr2 0.500 0.000 0.000
Al1 0.000 0.000 0.500
H1 0.500 0.500 0.500
Pb1 0.000 0.000 0.000

Density functional theory data (PBE) for Pu2C2Se after structural relaxation.

Results
Raw formation energy   -0.6136 eV per atom
Final energy   -107.33 eV for the cell shown
Space group   C2/c, No. 15

Lattice parameters (Å, degrees): 7.118 7.118 6.619 100.81 100.81 33.24
Positions (direct):
Pu1 0.056 0.662 0.853
Pu2 0.338 0.944 0.647
Pu3 0.662 0.056 0.353
Pu4 0.944 0.338 0.147
C1 0.153 0.397 0.470
C2 0.397 0.153 0.970
C3 0.603 0.847 0.030
C4 0.847 0.603 0.530
Se1 0.292 0.708 0.250
Se2 0.708 0.292 0.750

Density functional theory data (PBE) for Sr3CaRh after structural relaxation.

Results
Energy relative to the elements   -193 meV per atom
Distance to the lowest polymorph of the same formula   0.04 eV/f.u.
Final energy   -30.72 eV for the cell shown
Space group   Pc, No. 7

Lattice parameters (Å, degrees): 8.135 7.191 8.052 90.00 117.11 90.00
Positions (direct):
Sr1 0.000 0.075 0.000
Sr2 0.000 0.925 0.500
Sr3 0.245 0.419 0.761
Sr4 0.245 0.581 0.261
Sr5 0.521 0.086 0.510
Sr6 0.521 0.914 0.010
Ca1 0.761 0.433 0.277
Ca2 0.761 0.567 0.777
Rh1 0.877 0.263 0.631
Rh2 0.877 0.737 0.131

Density functional theory data (PBE) for Co2TcAs after structural relaxation.

Results
Energy relative to the elements   91 meV per atom
Final energy   -28.86 eV for the cell shown
Space group   P2/m, No. 10

Lattice parameters (Å, degrees): 2.727 3.795 5.056 90.00 104.69 90.00
Positions (direct):
Co1 0.116 0.000 0.251
Co2 0.884 0.000 0.749
Tc1 0.500 0.500 0.000
As1 0.500 0.500 0.500

Density functional theory data (PBE) for LiSeOF2 after structural relaxation.

Results
Distance to the lowest polymorph of the same formula   0.00 eV/f.u.
Raw formation energy   -1.2078 eV per atom
Final energy   -20.14 eV for the cell shown
Space group   P4/mmm, No. 123

Lattice parameters (Å, degrees): 4.523 4.523 3.788 90.00 90.00 90.00
Positions (direct):
Li1 0.000 0.000 0.000
Se1 0.500 0.500 0.500
O1 0.500 0.500 0.000
F1 0.000 0.500 0.500
F2 0.500 0.000 0.500

Density functional theory data (PBE) for SrZnInAu3 after structural relaxation.

Results
Energy relative to the elements   -353 meV per atom
Final energy   -35.29 eV for the cell shown
Space group   Cmcm, No. 63

Lattice parameters (Å, degrees): 6.918 6.918 7.910 90.00 90.00 129.09
Positions (direct):
Sr1 0.187 0.813 0.750
Sr2 0.813 0.187 0.250
Zn1 0.443 0.557 0.750
Zn2 0.557 0.443 0.250
In1 0.124 0.876 0.250
In2 0.876 0.124 0.750
Au1 0.242 0.242 0.000
Au2 0.242 0.242 0.500
Au3 0.343 0.657 0.250
Au4 0.657 0.343 0.750
Au5 0.758 0.758 0.000
Au6 0.758 0.758 0.500

Density functional theory data (PBE) for Li2Zn7Ag2 after structural relaxation.

Results
Energy relative to the elements   -111 meV per atom
Distance to the lowest polymorph of the same formula   0.00 eV/f.u.
Final energy   -19.67 eV for the cell shown
Space group   C2/m, No. 12

Lattice parameters (Å, degrees): 6.365 6.365 4.926 109.92 109.92 88.13
Positions (direct):
Li1 0.204 0.796 0.000
Li2 0.796 0.204 0.000
Zn1 0.000 0.000 0.500
Zn2 0.069 0.589 0.328
Zn3 0.259 0.259 0.043
Zn4 0.411 0.931 0.672
Zn5 0.589 0.069 0.328
Zn6 0.741 0.741 0.957
Zn7 0.931 0.411 0.672
Ag1 0.397 0.397 0.663
Ag2 0.603 0.603 0.337

Density functional theory data (PBE) for LaMoAs2W after structural relaxation.

Results
Energy relative to the elements   391 meV per atom
Final energy   -36.06 eV for the cell shown
Space group   P4/mmm, No. 123

Lattice parameters (Å, degrees): 4.895 4.895 4.979 90.00 90.00 90.00
Positions (direct):
La1 0.000 0.000 0.000
Mo1 0.500 0.500 0.000
As1 0.000 0.500 0.500
As2 0.500 0.000 0.500
W1 0.500 0.500 0.500

Density functional theory data (PBE) for Na6SnHg2 after structural relaxation.

Results
Energy relative to the elements   -168 meV per atom
Distance to the lowest polymorph of the same formula   0.00 eV/f.u.
Final energy   -14.03 eV for the cell shown
Space group   R-3m, No. 166

Lattice parameters (Å, degrees): 10.926 10.926 10.926 28.65 28.65 28.65
Positions (direct):
Na1 0.089 0.089 0.089
Na2 0.197 0.197 0.197
Na3 0.308 0.308 0.308
Na4 0.692 0.692 0.692
Na5 0.803 0.803 0.803
Na6 0.911 0.911 0.911
Sn1 0.500 0.500 0.500
Hg1 0.406 0.406 0.406
Hg2 0.594 0.594 0.594

The following DOS(E_F) values (in states/eV per atom) correspond, in order, to the records above: 0.547, 0.711, 1.292, 0.411, 0.611, 0.000, 0.480, 1.390, 1.169, 0.511, 0.712, 3.048, 0.831, 1.080, 0.211, 0.297, 0.267, 1.063, 0.388.